# Ac3PrPt8 | Alexandria via LeMat-Bulk | PBE | optimized geometry
# * M_tot: 0.000 Bohr magnetons per cell
# * energy of formation: -12.29 eV per formula unit
# * SG: No. 160
data_Ac3PrPt8
_chemical_formula_sum 'Ac3 Pr1 Pt8'
_space_group_name_H-M_alt 'P 1'
_space_group_IT_number 1
_cell_length_a 5.6280
_cell_length_b 5.6280
_cell_length_c 9.7621
_cell_angle_alpha 73.25
_cell_angle_beta 73.25
_cell_angle_gamma 60.00
loop_
_space_group_symop_operation_xyz
'x,y,z'
loop_
_atom_site_label
_atom_site_type_symbol
_atom_site_fract_x
_atom_site_fract_y
_atom_site_fract_z
Pt1 Pt 0.9364 0.4369 0.1898
Pt2 Pt 0.4369 0.9364 0.1898
Pt3 Pt 0.9381 0.4388 0.6850
Ac1 Ac 0.9983 0.9983 0.0050
Pt4 Pt 0.6875 0.6875 0.9375
Pt5 Pt 0.4369 0.4369 0.1898
Pr1 Pr 0.8742 0.8742 0.3774
Pt6 Pt 0.4388 0.9381 0.6850
Pt7 Pt 0.1876 0.1876 0.4372
Ac2 Ac 0.3756 0.3756 0.8733
Ac3 Ac 0.5015 0.5015 0.4955
Pt8 Pt 0.9381 0.9381 0.6850